(1)
This record from Alexandria describes Tb2Pm6Sm3 after structural relaxation. The functional is PBE.

a b c (Å): 4.8098 4.8098 33.7480
angles (deg): 90.00 90.00 90.00
Last column: nearest neighbours and their distance in Å.
Space group I4/mmm (No. 139)
Symmetry-distinct sites (fractional):
Tb 0.0000 0.0000 0.0453 [4 per cell]  1 Tb 3.06
Pm 0.0000 0.0000 0.1992 [4 per cell]  5 Sm 3.40-3.44, 4 Pm 3.59
Pm 0.0000 0.5000 0.1201 [8 per cell]  6 Pm 3.40-3.59, 2 Tb 3.49, 2 Sm 3.59
Sm 0.0000 0.0000 0.3010 [4 per cell]  9 Pm 3.40-3.59
Sm 0.0000 0.0000 0.5000 [2 per cell]  8 Tb 3.73

Values from the calculation:
The energy of formation comes out at 0.27 eV per atom. The calculation puts the energy relative to the lowest polymorph listed for this composition at 0.263 eV per atom. The total energy comes out at -4.445 eV per atom.


(2)
This record from Alexandria describes Tb7Pm3Sm2 after structural relaxation. The functional is PBE.

a b c (Å): 6.3854 3.5499 17.6395
angles (deg): 90.00 96.19 90.00
Last column: nearest neighbours and their distance in Å.
Space group P2/m (No. 10)
Symmetry-distinct sites (fractional):
Tb 0.0000 0.0000 0.0000 [1 per cell]  8 Tb 3.55-3.59, 4 Pm 3.65
Tb 0.2249 0.5000 0.1661 [2 per cell]  1 Sm 3.53, 8 Tb 3.55-3.67, 3 Pm 3.57-3.71
Tb 0.2547 0.5000 0.4994 [2 per cell]  2 Tb 3.13-3.26, 2 Sm 3.43-3.45
Tb 0.2725 0.0000 0.8351 [2 per cell]  2 Sm 3.52, 7 Tb 3.55-3.67, 3 Pm 3.58-3.72
Pm 0.4520 0.0000 0.3404 [2 per cell]  2 Pm 3.55, 4 Sm 3.63-3.69, 7 Tb 3.66-3.72
Pm 0.5000 0.5000 0.0000 [1 per cell]  2 Pm 3.55, 10 Tb 3.57-3.65
Sm 0.0570 0.5000 0.6727 [2 per cell]  5 Tb 3.43-3.53, 2 Sm 3.55, 4 Pm 3.63-3.69

Values from the calculation:
The energy of formation comes out at 0.08 eV per atom. The calculation puts the energy relative to the lowest polymorph listed for this composition at 0.000 eV per atom. The total energy comes out at -4.596 eV per atom.


(3)
This record from Alexandria describes Tb2Pm2Sm3 after structural relaxation. The functional is PBE.

a b c (Å): 3.6163 6.2546 10.8647
angles (deg): 84.44 89.95 73.20
Last column: nearest neighbours and their distance in Å.
Space group P-1 (No. 2)
Symmetry-distinct sites (fractional):
Tb 0.0709 0.3578 0.2866 [2 per cell]  7 Sm 3.61-3.63, 3 Pm 3.61-3.62, 2 Tb 3.62
Pm 0.2142 0.0708 0.8563 [2 per cell]  5 Sm 3.61-3.62, 3 Tb 3.61-3.62, 4 Pm 3.62-3.64
Sm 0.3580 0.7855 0.4291 [2 per cell]  5 Sm 3.61-3.62, 5 Tb 3.61-3.62, 2 Pm 3.62
Sm 0.5000 0.5000 0.0000 [1 per cell]  6 Pm 3.61-3.62, 2 Sm 3.62, 4 Tb 3.63

Values from the calculation:
The energy of formation comes out at 0.01 eV per atom. The calculation puts the energy relative to the lowest polymorph listed for this composition at 0.000 eV per atom. The total energy comes out at -4.688 eV per atom.


(4)
This record from Alexandria describes Tb6Pm5Sm2 after structural relaxation. The functional is PBE.

a b c (Å): 11.7587 20.5900 3.6158
angles (deg): 90.00 90.00 90.00
Last column: nearest neighbours and their distance in Å.
Space group Pbam (No. 55)
Symmetry-distinct sites (fractional):
Tb 0.0603 0.0793 0.0000 [4 per cell]  6 Pm 3.51-3.63, 5 Tb 3.56-3.75, 1 Sm 3.88
Tb 0.0794 0.3675 0.0000 [4 per cell]  1 Sm 3.36, 6 Pm 3.40-3.58, 4 Tb 3.52-3.62
Tb 0.1772 0.6339 0.5000 [4 per cell]  2 Pm 3.36-3.46, 6 Tb 3.52-3.75, 2 Sm 3.63
Pm 0.0000 0.5000 0.5000 [2 per cell]  6 Tb 3.40-3.46, 4 Pm 3.62-3.69
Pm 0.0855 0.2247 0.5000 [4 per cell]  5 Tb 3.36-3.51, 4 Sm 3.53-3.61, 2 Pm 3.62
Pm 0.1995 0.9491 0.5000 [4 per cell]  6 Tb 3.58-3.63, 3 Pm 3.62-3.69, 2 Sm 3.81
Sm 0.1718 0.7869 0.0000 [4 per cell]  3 Tb 3.36-3.63, 4 Pm 3.53-3.61, 2 Sm 3.62

Values from the calculation:
The energy of formation comes out at 0.09 eV per atom. The total energy comes out at -4.598 eV per atom.


(5)
This record from Alexandria describes TbPm2Sm after structural relaxation. The functional is PBE.

a b c (Å): 8.1460 8.1460 8.1460
angles (deg): 90.00 90.00 90.00
Last column: nearest neighbours and their distance in Å.
Space group Fm-3m (No. 225)
Symmetry-distinct sites (fractional):
Tb 0.0000 0.0000 0.0000 [4 per cell]  8 Pm 3.53
Pm 0.2500 0.2500 0.2500 [8 per cell]  4 Sm 3.53, 4 Tb 3.53
Sm 0.0000 0.0000 0.5000 [4 per cell]  8 Pm 3.53

Values from the calculation:
The energy of formation comes out at 0.14 eV per atom. The calculation puts the energy relative to the lowest polymorph listed for this composition at 0.126 eV per atom. The total energy comes out at -4.575 eV per atom.


(6)
This record from Alexandria describes Tb12Pm6Sm after structural relaxation. The functional is PBE.

a b c (Å): 13.3086 13.3086 12.6733
angles (deg): 90.00 90.00 120.00
Last column: nearest neighbours and their distance in Å.
Space group R-3m (No. 166, hexagonal axes)
Symmetry-distinct sites (fractional):
Tb 0.0000 0.2579 0.0000 [18 per cell]  6 Tb 3.36-3.55, 4 Pm 3.50-3.58
Tb 0.0912 0.1823 0.7648 [18 per cell]  6 Tb 3.36-3.64, 2 Pm 3.73
Pm 0.0394 0.5197 0.1169 [18 per cell]  1 Pm 3.10, 1 Sm 3.45
Sm 0.0000 0.0000 0.5000 [3 per cell]  6 Pm 3.45

Values from the calculation:
The energy of formation comes out at 0.21 eV per atom. The calculation puts the energy relative to the lowest polymorph listed for this composition at 0.034 eV per atom. The total energy comes out at -4.465 eV per atom.


(7)
This record from Alexandria describes Tb5Pm2Sm4 after structural relaxation. The functional is PBE.

a b c (Å): 11.1519 7.4706 9.2808
angles (deg): 90.00 107.17 90.00
Last column: nearest neighbours and their distance in Å.
Space group C2/m (No. 12)
Symmetry-distinct sites (fractional):
Tb 0.0000 0.0000 0.0000 [2 per cell]  4 Tb 3.22, 2 Sm 3.49
Tb 0.0673 0.2819 0.2743 [8 per cell]  2 Tb 3.22-3.26, 4 Sm 3.47-3.58, 2 Pm 3.48-3.49
Pm 0.1433 0.0000 0.6259 [4 per cell]  1 Pm 3.36, 4 Sm 3.45-3.75, 4 Tb 3.48-3.49
Sm 0.1735 0.5000 0.6230 [4 per cell]  1 Sm 3.44, 6 Tb 3.47-3.50, 3 Pm 3.51-3.75
Sm 0.1863 0.5000 0.9976 [4 per cell]  1 Sm 3.44, 1 Pm 3.45, 5 Tb 3.49-3.61

Values from the calculation:
The energy of formation comes out at 0.13 eV per atom. The calculation puts the energy relative to the lowest polymorph listed for this composition at 0.000 eV per atom. The total energy comes out at -4.559 eV per atom.


(8)
This record from Alexandria describes Tb3PmSm after structural relaxation. The functional is PBE.

a b c (Å): 6.3122 6.8235 8.5495
angles (deg): 103.00 111.65 90.04
Last column: nearest neighbours and their distance in Å.
Space group P-1 (No. 2)
Symmetry-distinct sites (fractional):
Tb 0.0152 0.4497 0.1979 [2 per cell]  6 Tb 3.54-3.67, 3 Sm 3.57-3.64, 3 Pm 3.59-3.66
Tb 0.2158 0.8491 0.6012 [2 per cell]  5 Tb 3.55-3.67, 4 Pm 3.57-3.67, 3 Sm 3.58-3.66
Tb 0.4177 0.2505 0.0010 [2 per cell]  7 Tb 3.55-3.66, 2 Pm 3.56-3.65, 3 Sm 3.57-3.66
Pm 0.3818 0.3492 0.6003 [2 per cell]  9 Tb 3.56-3.67, 2 Sm 3.58-3.65, 1 Pm 3.59
Sm 0.1820 0.9506 0.2003 [2 per cell]  1 Sm 3.56, 9 Tb 3.57-3.66, 2 Pm 3.58-3.65

Values from the calculation:
The energy of formation comes out at 0.02 eV per atom. The calculation puts the energy relative to the lowest polymorph listed for this composition at 0.000 eV per atom. The total energy comes out at -4.650 eV per atom.


Q: What is the energy of formation in the sixth record?
A: 0.21 eV per atom


Copy entry 7 word for word.
This record from Alexandria describes Tb5Pm2Sm4 after structural relaxation. The functional is PBE.

a b c (Å): 11.1519 7.4706 9.2808
angles (deg): 90.00 107.17 90.00
Last column: nearest neighbours and their distance in Å.
Space group C2/m (No. 12)
Symmetry-distinct sites (fractional):
Tb 0.0000 0.0000 0.0000 [2 per cell]  4 Tb 3.22, 2 Sm 3.49
Tb 0.0673 0.2819 0.2743 [8 per cell]  2 Tb 3.22-3.26, 4 Sm 3.47-3.58, 2 Pm 3.48-3.49
Pm 0.1433 0.0000 0.6259 [4 per cell]  1 Pm 3.36, 4 Sm 3.45-3.75, 4 Tb 3.48-3.49
Sm 0.1735 0.5000 0.6230 [4 per cell]  1 Sm 3.44, 6 Tb 3.47-3.50, 3 Pm 3.51-3.75
Sm 0.1863 0.5000 0.9976 [4 per cell]  1 Sm 3.44, 1 Pm 3.45, 5 Tb 3.49-3.61

Values from the calculation:
The energy of formation comes out at 0.13 eV per atom. The calculation puts the energy relative to the lowest polymorph listed for this composition at 0.000 eV per atom. The total energy comes out at -4.559 eV per atom.


What did the fifth record say?
This record from Alexandria describes TbPm2Sm after structural relaxation. The functional is PBE.

a b c (Å): 8.1460 8.1460 8.1460
angles (deg): 90.00 90.00 90.00
Last column: nearest neighbours and their distance in Å.
Space group Fm-3m (No. 225)
Symmetry-distinct sites (fractional):
Tb 0.0000 0.0000 0.0000 [4 per cell]  8 Pm 3.53
Pm 0.2500 0.2500 0.2500 [8 per cell]  4 Sm 3.53, 4 Tb 3.53
Sm 0.0000 0.0000 0.5000 [4 per cell]  8 Pm 3.53

Values from the calculation:
The energy of formation comes out at 0.14 eV per atom. The calculation puts the energy relative to the lowest polymorph listed for this composition at 0.126 eV per atom. The total energy comes out at -4.575 eV per atom.